No. 1
# CsTeS2 PBE-GGA relaxed
# Total magnetic moment (μB/cell): 3.0
# Volume (A^3/atom): 53.67
# D(E_F) (states/eV/f.u.): 7.66
# Formation energy (no corrections) (eV per atom): -0.0490
data_CsTeS2
_chemical_formula_sum 'Cs3 Te3 S6'
_cell_length_a 5.426
_cell_length_b 5.426
_cell_length_c 25.261
_cell_angle_alpha 90.00
_cell_angle_beta 90.00
_cell_angle_gamma 120.00
_symmetry_space_group_name_H-M 'P 1'
_symmetry_Int_Tables_number 1
loop_
_symmetry_equiv_pos_as_xyz
'x,y,z'
loop_
_atom_site_label
_atom_site_type_symbol
_atom_site_fract_x
_atom_site_fract_y
_atom_site_fract_z
Cs1 Cs 0.000 0.000 0.000
Cs2 Cs 0.333 0.667 0.667
Cs3 Cs 0.667 0.333 0.333
Te1 Te 0.000 0.000 0.500
Te2 Te 0.333 0.667 0.167
Te3 Te 0.667 0.333 0.833
S1 S 0.000 0.000 0.403
S2 S 0.000 0.000 0.597
S3 S 0.333 0.667 0.070
S4 S 0.333 0.667 0.263
S5 S 0.667 0.333 0.737
S6 S 0.667 0.333 0.930

No. 2
# LiSnOsPb2 PBE-GGA relaxed
# Total magnetic moment (μB/cell): 2.5
# DFT formation energy (eV per atom): 1.45
# Volume (A^3/atom): 31.43
# D(E_F) (states/eV/f.u.): 4.98
data_LiSnOsPb2
_chemical_formula_sum 'Li1 Sn1 Os1 Pb2'
_cell_length_a 5.711
_cell_length_b 5.711
_cell_length_c 4.818
_cell_angle_alpha 90.00
_cell_angle_beta 90.00
_cell_angle_gamma 90.00
_symmetry_space_group_name_H-M 'P 1'
_symmetry_Int_Tables_number 1
loop_
_symmetry_equiv_pos_as_xyz
'x,y,z'
loop_
_atom_site_label
_atom_site_type_symbol
_atom_site_fract_x
_atom_site_fract_y
_atom_site_fract_z
Li1 Li 0.000 0.000 0.000
Sn1 Sn 0.000 0.000 0.500
Os1 Os 0.500 0.500 0.000
Pb1 Pb 0.000 0.500 0.500
Pb2 Pb 0.500 0.000 0.500